Computed, not measured: an optimized crystal structure of LaBe2NbCd at the PBE level of DFT.

abc: 4.8095 5.1661 4.8095
angles: 90.00 90.00 90.00
Positions (direct):
La  0.0000  0.5000  0.0000
Nb  0.0000  0.0000  0.0000
Cd  0.5000  0.5000  0.5000
Be  0.5000  0.0000  0.0000
Be  0.0000  0.0000  0.5000

* SG: P4/mmm, No. 123
* E_form: 0.994 eV/atom